! CdAg2Sn3S8 | Alexandria via LeMat-Bulk | PBEsol | optimized geometry; values from VASP
! M_tot ... 0.00 μB/f.u.
! Electronic total energy ... -4.36 eV/atom
! Formation energy without anion corrections ... -519 kJ/mol of formula units
! N(E_F) ... 0.50 states/eV/f.u.
&SYSTEM
  ibrav = 0, nat = 14, ntyp = 4
/
ATOMIC_SPECIES
S 32.06 S.upf
Sn 118.71 Sn.upf
Cd 112.41 Cd.upf
Ag 107.87 Ag.upf
CELL_PARAMETERS angstrom
-3.546 -3.148 5.904
3.699 -4.842 4.496
1.857 2.066 7.074
ATOMIC_POSITIONS crystal
S 0.278 0.746 0.230
Sn 0.500 0.000 0.000
S 0.746 0.746 0.230
Sn 0.000 0.500 0.000
S 0.254 0.254 0.238
S 0.254 0.254 0.770
Cd 0.500 0.500 0.500
S 0.722 0.254 0.770
S 0.254 0.722 0.770
Sn 0.500 0.500 0.000
S 0.746 0.746 0.762
Ag 0.116 0.116 0.651
Ag 0.884 0.884 0.349
S 0.746 0.278 0.230